VASP calculation (GGA-PBE) on a relaxed structure of CaCdIn3.

```
CaCdIn3
1.0
5.037 0.000 0.000
0.000 6.251 0.000
-2.399 0.000 8.834
Ca Cd In
2 2 6
Cartesian
0.050 1.563 2.205
2.588 4.688 6.628
0.066 4.688 4.601
2.572 1.563 4.233
0.033 4.688 1.175
0.057 1.563 5.768
2.518 0.000 0.000
2.518 3.126 0.000
2.581 4.688 3.066
2.605 1.563 7.659
```

Values from the calculation:
Symmetry   P2_1/m (11)
Calculated formation energy   -153.0 meV per atom
Spin magnetization   0.0 μB per formula unit

=====

VASP calculation (GGA-PBE) on a relaxed structure of Ca3Cd2In7.

```
Ca3Cd2In7
1.0
3.038 1.754 10.367
-3.038 1.754 10.367
0.000 -3.508 10.367
Ca Cd In
3 2 7
Cartesian
0.000 0.000 0.000
0.000 0.000 4.372
0.000 0.000 26.730
0.000 0.000 10.406
0.000 0.000 20.696
-1.540 -0.889 12.964
0.000 -1.778 18.139
-1.540 0.889 18.139
0.000 0.000 15.551
1.540 -0.889 12.964
0.000 1.778 12.964
1.540 0.889 18.139
```

Values from the calculation:
Symmetry   R-3m (166)
Calculated formation energy   -219.9 meV per atom
Spin magnetization   0.0 μB per formula unit

=====

VASP calculation (GGA-PBE) on a relaxed structure of Ca2Cd2In3.

```
Ca2Cd2In3
1.0
5.667 -2.328 0.000
5.667 2.328 0.000
-1.306 0.000 7.289
Ca Cd In
2 2 3
Cartesian
0.891 0.000 2.352
9.137 0.000 4.936
4.119 0.000 2.547
5.909 0.000 4.741
1.185 0.000 6.290
5.667 0.000 0.000
8.843 0.000 0.999
```

Values from the calculation:
Energy above the lowest structure with this stoichiometry   0.07 eV per formula unit
Symmetry   C2/m (12)
Calculated formation energy   -280.8 meV per atom
Spin magnetization   0.0 μB per formula unit

=====

VASP calculation (GGA-PBE) on a relaxed structure of CaCd3In.

```
CaCd3In
1.0
-2.705 2.705 11.873
2.705 -2.705 11.873
2.705 2.705 -11.873
Ca Cd In
2 6 2
Cartesian
0.000 0.000 0.000
0.000 2.705 5.936
2.705 0.000 2.278
0.000 1.354 2.938
2.705 0.000 9.595
0.000 4.056 2.938
-1.351 2.705 8.935
1.351 2.705 8.935
0.000 0.000 8.023
0.000 0.000 15.723
```

Values from the calculation:
Energy above the lowest structure with this stoichiometry   1.46 eV per formula unit
Symmetry   I-4m2 (119)
Calculated formation energy   89.1 meV per atom
Spin magnetization   0.0 μB per formula unit

=====

VASP calculation (GGA-PBE) on a relaxed structure of CaCd2In.

```
CaCd2In
1.0
-2.603 2.603 3.668
2.603 -2.603 3.668
2.603 2.603 -3.668
Ca Cd In
1 2 1
Cartesian
0.000 0.000 0.000
2.603 0.000 1.834
0.000 0.000 3.668
0.000 2.603 1.834
```

Values from the calculation:
Symmetry   I-4m2 (119)
Calculated formation energy   -248.8 meV per atom
Spin magnetization   0.0 μB per formula unit

=====

VASP calculation (GGA-PBE) on a relaxed structure of Ca2Cd15In2.

```
Ca2Cd15In2
1.0
5.159 2.978 4.962
-5.159 2.978 4.962
0.000 -5.957 4.962
Ca Cd In
2 15 2
Cartesian
0.000 0.000 2.431
0.000 0.000 12.454
-2.579 -1.489 4.962
0.000 -3.127 4.776
-2.708 1.564 4.776
-1.615 -2.797 7.442
-3.229 0.000 7.442
-2.708 -1.564 10.109
-2.579 1.489 9.923
1.615 -2.797 7.442
0.000 2.978 4.962
-1.615 2.797 7.442
2.708 1.564 4.776
3.229 0.000 7.442
1.615 2.797 7.442
2.708 -1.564 10.109
0.000 3.127 10.109
0.000 0.000 5.955
0.000 0.000 8.930
```

Values from the calculation:
Symmetry   R-3m (166)
Calculated formation energy   -123.8 meV per atom
Spin magnetization   0.0 μB per formula unit

=====

VASP calculation (GGA-PBE) on a relaxed structure of Ca2CdIn.

```
Ca2CdIn
1.0
0.000 3.823 3.823
3.823 0.000 3.823
3.823 3.823 0.000
Ca Cd In
2 1 1
Cartesian
0.000 0.000 0.000
1.912 1.912 1.912
5.735 5.735 5.735
3.823 3.823 3.823
```

Values from the calculation:
Energy above the lowest structure with this stoichiometry   0.85 eV per formula unit
Symmetry   F-43m (216)
Calculated formation energy   -216.6 meV per atom
Spin magnetization   0.0 μB per formula unit

=====

VASP calculation (GGA-PBE) on a relaxed structure of Ca3Cd3In.

```
Ca3Cd3In
1.0
5.938 -2.375 0.000
5.938 2.375 0.000
-4.927 0.000 14.623
Ca Cd In
6 6 2
Cartesian
-1.531 0.000 5.608
-3.245 0.000 13.495
1.749 0.000 3.303
5.201 0.000 11.319
10.195 0.000 1.128
8.481 0.000 9.015
2.170 0.000 6.677
0.037 0.000 13.520
1.916 0.000 11.269
5.034 0.000 3.354
6.912 0.000 1.103
4.779 0.000 7.946
0.073 0.000 8.963
6.877 0.000 5.660
```

Values from the calculation:
Symmetry   C2/m (12)
Calculated formation energy   -322.7 meV per atom
Spin magnetization   0.0 μB per formula unit

=====

VASP calculation (GGA-PBE) on a relaxed structure of Ca2CdIn.

```
Ca2CdIn
1.0
5.395 0.000 0.000
0.000 5.395 0.000
0.000 0.000 3.915
Ca Cd In
2 1 1
Cartesian
0.000 2.698 0.000
2.698 0.000 0.000
0.000 0.000 1.958
2.698 2.698 1.958
```

Values from the calculation:
Energy above the lowest structure with this stoichiometry   0.02 eV per formula unit
Symmetry   P4/mmm (123)
Calculated formation energy   -423.6 meV per atom
Spin magnetization   0.0 μB per formula unit

=====

VASP calculation (GGA-PBE) on a relaxed structure of Ca2Cd4In5.

```
Ca2Cd4In5
1.0
-3.010 4.517 5.370
3.010 -4.517 5.370
3.010 4.517 -5.370
Ca Cd In
2 4 5
Cartesian
0.000 0.000 1.911
0.000 0.000 8.829
3.010 -1.489 2.624
3.010 1.489 2.624
0.000 3.027 2.746
0.000 6.006 2.746
3.010 0.000 0.000
1.511 2.929 0.000
1.499 -1.588 5.370
1.511 6.105 0.000
1.499 1.588 5.370
```

Values from the calculation:
Symmetry   Immm (71)
Calculated formation energy   -158.5 meV per atom
Spin magnetization   0.0 μB per formula unit

=====

VASP calculation (GGA-PBE) on a relaxed structure of Ca2Cd2In3.

```
Ca2Cd2In3
1.0
2.303 -10.562 0.000
2.303 10.562 0.000
0.000 0.000 8.001
Ca Cd In
4 4 6
Cartesian
2.303 9.357 6.001
2.303 7.249 2.000
2.303 -7.249 6.001
2.303 -9.357 2.000
2.303 3.928 0.447
2.303 3.928 3.553
2.303 -3.928 4.447
2.303 -3.928 7.554
2.303 5.737 6.001
2.303 1.266 4.584
2.303 1.266 7.417
2.303 -1.266 0.584
2.303 -1.266 3.416
2.303 -5.737 2.000
```

Values from the calculation:
Energy above the lowest structure with this stoichiometry   0.00 eV per formula unit
Symmetry   Cmcm (63)
Calculated formation energy   -290.5 meV per atom
Spin magnetization   0.0 μB per formula unit

=====

VASP calculation (GGA-PBE) on a relaxed structure of CaCd2In.

```
CaCd2In
1.0
1.839 1.061 9.632
-1.839 1.061 9.632
0.000 -2.123 9.632
Ca Cd In
1 2 1
Cartesian
0.000 0.000 0.000
0.000 0.000 7.126
0.000 0.000 21.770
0.000 0.000 14.448
```

Values from the calculation:
Symmetry   R-3m (166)
Calculated formation energy   -87.9 meV per atom
Spin magnetization   0.0 μB per formula unit

=====

VASP calculation (GGA-PBE) on a relaxed structure of CaCd3In.

```
CaCd3In
1.0
5.917 0.000 0.000
0.000 5.917 0.000
0.000 0.000 5.917
Ca Cd In
1 3 1
Cartesian
0.000 0.000 0.000
0.000 0.000 2.958
0.000 2.958 0.000
2.958 0.000 0.000
2.958 2.958 2.958
```

Values from the calculation:
Energy above the lowest structure with this stoichiometry   3.69 eV per formula unit
Symmetry   Pm-3m (221)
Calculated formation energy   535.8 meV per atom
Spin magnetization   0.0 μB per formula unit

=====

VASP calculation (GGA-PBE) on a relaxed structure of Ca2CdIn.

```
Ca2CdIn
1.0
5.090 -1.838 0.000
5.090 1.838 0.000
-1.304 0.000 6.684
Ca Cd In
2 1 1
Cartesian
2.225 0.000 1.642
6.650 0.000 5.043
-0.652 0.000 3.342
5.090 0.000 0.000
```

Values from the calculation:
Energy above the lowest structure with this stoichiometry   0.83 eV per formula unit
Symmetry   C2/m (12)
Calculated formation energy   -222.6 meV per atom
Spin magnetization   0.0 μB per formula unit

=====

VASP calculation (GGA-PBE) on a relaxed structure of Ca2CdIn.

```
Ca2CdIn
1.0
0.000 3.846 3.846
3.846 0.000 3.846
3.846 3.846 0.000
Ca Cd In
2 1 1
Cartesian
1.923 1.923 1.923
5.769 5.769 5.769
0.000 0.000 0.000
3.846 3.846 3.846
```

Values from the calculation:
Energy above the lowest structure with this stoichiometry   0.00 eV per formula unit
Symmetry   Fm-3m (225)
Calculated formation energy   -429.3 meV per atom
Spin magnetization   0.0 μB per formula unit

=====

VASP calculation (GGA-PBE) on a relaxed structure of CaCd2In.

```
CaCd2In
1.0
7.628 0.000 0.000
0.000 2.389 5.664
0.000 -2.389 5.664
Ca Cd In
2 4 2
Cartesian
0.000 0.000 0.000
3.814 0.000 1.842
0.000 0.000 3.320
2.328 0.000 5.124
3.814 0.000 9.875
5.300 0.000 5.124
1.519 0.000 7.969
6.109 0.000 7.969
```

Values from the calculation:
Symmetry   Amm2 (38)
Calculated formation energy   -307.4 meV per atom
Spin magnetization   0.0 μB per formula unit

=====

VASP calculation (GGA-PBE) on a relaxed structure of Ca2CdIn.

```
Ca2CdIn
1.0
3.981 0.000 0.000
0.000 4.404 0.000
0.000 0.000 6.964
Ca Cd In
2 1 1
Cartesian
0.000 0.000 0.000
1.990 2.202 2.296
0.000 0.000 3.709
1.990 2.202 5.531
```

Values from the calculation:
Energy above the lowest structure with this stoichiometry   0.79 eV per formula unit
Symmetry   Pmm2 (25)
Calculated formation energy   -232.9 meV per atom
Spin magnetization   0.0 μB per formula unit

=====

VASP calculation (GGA-PBE) on a relaxed structure of Ca2CdIn.

```
Ca2CdIn
1.0
-4.294 4.294 3.526
4.294 -4.294 3.526
4.294 4.294 -3.526
Ca Cd In
4 2 2
Cartesian
2.147 2.103 -0.882
2.191 -2.147 4.408
2.147 2.191 2.645
2.103 6.441 0.882
0.000 0.000 0.000
0.000 4.294 1.763
4.294 0.000 1.763
0.000 0.000 3.526
```

Values from the calculation:
Energy above the lowest structure with this stoichiometry   1.36 eV per formula unit
Symmetry   I-42d (122)
Calculated formation energy   -89.1 meV per atom
Spin magnetization   0.0 μB per formula unit

=====

VASP calculation (GGA-PBE) on a relaxed structure of CaCdIn3.

```
CaCdIn3
1.0
5.520 0.000 0.000
0.000 5.520 0.000
0.000 0.000 5.520
Ca Cd In
1 1 3
Cartesian
0.000 0.000 0.000
2.760 2.760 2.760
0.000 2.760 2.760
2.760 0.000 2.760
2.760 2.760 0.000
```

Values from the calculation:
Symmetry   Pm-3m (221)
Calculated formation energy   163.5 meV per atom
Spin magnetization   0.0 μB per formula unit

=====

VASP calculation (GGA-PBE) on a relaxed structure of Ca3Cd4In2.

```
Ca3Cd4In2
1.0
5.677 -2.496 0.000
5.677 2.496 0.000
-4.305 0.000 8.410
Ca Cd In
3 4 2
Cartesian
0.000 0.000 0.000
2.393 0.000 2.781
4.656 0.000 5.628
-0.973 0.000 3.368
-0.851 0.000 8.034
7.900 0.000 0.375
8.022 0.000 5.042
1.293 0.000 6.080
5.757 0.000 2.329
```

Values from the calculation:
Symmetry   C2/m (12)
Calculated formation energy   -381.2 meV per atom
Spin magnetization   0.0 μB per formula unit